KZn6Ge2, optimized geometry, DFT GGA-PBE; N(E_F) = 0.26 states/eV per atom; DFT formation energy = -0.003 eV/atom
1.0
-2.652 0.575 -3.256
-1.121 -4.083 0.192
-6.775 2.136 5.896
K Zn Ge
1 6 2
Direct
0.000 0.000 0.000
0.000 0.500 0.310
0.500 0.000 0.310
0.000 0.500 0.690
0.500 0.000 0.690
0.500 0.500 0.500
0.000 0.000 0.500
0.500 0.500 0.149
0.500 0.500 0.851

Ta2SbP, optimized geometry, DFT GGA-PBE; N(E_F) = 0.29 states/eV per atom; formation energy from raw total energies = -0.0820 eV/atom
1.0
4.773 0.000 0.000
0.000 3.245 -0.008
0.000 1.369 4.893
Ta Sb P
2 1 1
Direct
0.000 0.076 0.011
0.500 0.355 0.305
0.500 0.675 0.769
0.000 0.394 0.415

Ta2FeIr, optimized geometry, DFT GGA-PBE; N(E_F) = 0.99 states/eV per atom; DFT formation energy = -0.276 eV/atom
1.0
-0.970 -2.384 -3.263
4.028 -0.268 -1.002
0.314 -2.928 2.046
Fe Ir Ta
1 1 2
Direct
0.500 0.000 0.500
0.000 0.500 0.500
0.000 0.000 0.000
0.500 0.500 0.000

LiMnAs, optimized geometry, DFT GGA-PBE; relative energy among the computed polymorphs = 39 meV per atom; N(E_F) = 0.34 states/eV per atom; DFT formation energy = -0.424 eV/atom
1.0
-2.977 2.260 0.216
-2.250 0.771 -6.651
-1.305 -4.300 -5.450
As Mn Li
2 2 2
Direct
0.955 0.370 0.379
0.955 0.621 0.630
0.455 0.996 0.004
0.455 0.496 0.504
0.955 0.826 0.836
0.955 0.164 0.174

KZr2Ni, optimized geometry, DFT GGA-PBE; relative energy among the computed polymorphs = 850 meV per atom; N(E_F) = 1.45 states/eV per atom; DFT formation energy = 1.032 eV/atom
1.0
5.060 0.000 0.000
2.530 4.382 0.000
2.530 1.461 4.131
K Ni Zr
1 1 2
Direct
0.500 0.500 0.500
0.750 0.750 0.750
0.000 0.000 0.000
0.250 0.250 0.250

Pm4Sm2Tl3H2, optimized geometry, DFT GGA-PBE; total energy = -4.131 eV/atom; N(E_F) = 0.85 states/eV per atom
1.0
4.851 0.000 0.000
0.000 4.851 0.000
-2.425 -2.425 12.616
Pm Sm Tl H
4 2 3 2
Direct
0.415 0.915 0.830
0.915 0.415 0.830
0.085 0.585 0.170
0.585 0.085 0.170
0.301 0.301 0.601
0.699 0.699 0.399
0.000 0.000 0.000
0.174 0.174 0.349
0.826 0.826 0.651
0.396 0.396 0.792
0.604 0.604 0.208

LiVZn, optimized geometry, DFT GGA-PBE; relative energy among the computed polymorphs = 130 meV per atom; N(E_F) = 0.57 states/eV per atom; DFT formation energy = 0.137 eV/atom
1.0
-1.878 7.098 -1.667
0.698 3.161 -3.816
-1.446 -4.583 -1.396
Zn V Li
2 2 2
Direct
0.500 0.500 0.000
0.500 0.000 0.500
0.168 0.777 0.223
0.832 0.223 0.777
0.831 0.753 0.247
0.169 0.247 0.753

Tb4ErSc6, optimized geometry, DFT GGA-PBE; N(E_F) = 1.34 states/eV per atom; DFT formation energy = 0.290 eV/atom
1.0
8.641 -1.524 -2.242
-5.347 6.957 2.242
-5.347 -0.473 7.294
Tb Er Sc
4 1 6
Direct
0.000 0.012 0.628
0.384 0.372 0.372
0.000 0.628 0.012
0.616 0.988 0.988
0.000 0.000 0.000
0.000 0.785 0.442
0.000 0.442 0.785
0.657 0.215 0.215
0.500 0.000 0.500
0.343 0.558 0.558
0.500 0.500 0.000

K4LiY, optimized geometry, DFT GGA-PBE; N(E_F) = 1.36 states/eV per atom; DFT formation energy = 0.544 eV/atom
1.0
0.000 5.439 5.439
5.439 0.000 5.439
5.439 5.439 0.000
K Li Y
4 1 1
Direct
0.875 0.375 0.375
0.375 0.375 0.875
0.375 0.875 0.375
0.375 0.375 0.375
0.750 0.750 0.750
0.000 0.000 0.000

Li2TcSn4, optimized geometry, DFT GGA-PBE; N(E_F) = 0.73 states/eV per atom; DFT formation energy = 0.120 eV/atom
1.0
5.128 0.000 0.000
0.000 5.128 0.000
2.564 2.564 6.974
Li Sn Tc
2 4 1
Direct
0.386 0.386 0.228
0.614 0.614 0.772
0.194 0.194 0.612
0.806 0.806 0.388
0.000 0.500 0.000
0.500 0.000 0.000
0.000 0.000 0.000

Rb3HO, optimized geometry, DFT GGA-PBE; relative energy among the computed polymorphs = 0 meV per atom
1.0
-0.197 3.527 2.081
-5.473 -1.063 5.324
4.871 -4.857 8.687
Rb H O
6 2 2
Direct
0.200 0.167 0.297
0.452 0.663 0.137
0.236 0.098 0.922
0.688 0.193 0.624
0.488 0.593 0.762
0.000 0.568 0.435
0.811 0.946 0.173
0.877 0.815 0.887
0.095 0.379 0.706
0.593 0.382 0.353

ZrMn3Al, optimized geometry, DFT GGA-PBE; relative energy among the computed polymorphs = 662 meV per atom; N(E_F) = 0.99 states/eV per atom; DFT formation energy = 1.386 eV/atom
1.0
4.738 0.000 0.000
0.000 4.738 0.000
0.000 0.000 4.738
Mn Al Zr
3 1 1
Direct
0.000 0.500 0.000
0.000 0.000 0.500
0.500 0.000 0.000
0.500 0.500 0.500
0.000 0.000 0.000

Dy6Tl2Bi, optimized geometry, DFT GGA-PBE; N(E_F) = 1.43 states/eV per atom; DFT formation energy = -0.342 eV/atom
1.0
-1.845 3.354 -1.529
-6.301 -0.808 5.830
6.999 4.687 1.838
Dy Tl Bi
6 2 1
Direct
0.500 0.607 0.000
0.500 0.393 0.393
0.500 0.000 0.607
0.000 0.280 0.000
0.000 0.721 0.721
0.000 0.000 0.279
0.000 0.333 0.666
0.000 0.667 0.334
0.500 0.000 0.000

Y12Hg3N5, optimized geometry, DFT GGA-PBE; N(E_F) = 0.80 states/eV per atom; formation energy from raw total energies = -0.8446 eV/atom
1.0
13.511 0.000 0.000
-4.504 12.738 0.000
-4.504 -6.369 11.032
Hg N Y
12 20 48
Direct
0.750 0.375 0.125
0.875 0.750 0.125
0.375 0.750 0.625
0.250 0.125 0.375
0.875 0.125 0.250
0.375 0.625 0.250
0.625 0.375 0.750
0.125 0.875 0.750
0.750 0.875 0.625
0.625 0.250 0.375
0.125 0.250 0.875
0.250 0.625 0.875
0.125 0.375 0.250
0.000 0.500 0.000
0.000 0.000 0.000
0.375 0.250 0.125
0.500 0.000 0.500
0.500 0.500 0.000
0.125 0.750 0.375
0.750 0.125 0.875
0.750 0.625 0.375
0.375 0.125 0.750
0.625 0.875 0.250
0.500 0.500 0.500
0.500 0.000 0.000
0.000 0.000 0.500
0.250 0.375 0.625
0.250 0.875 0.125
0.000 0.500 0.500
0.875 0.250 0.625
0.625 0.750 0.875
0.875 0.625 0.750
0.698 0.111 0.013
0.315 0.513 0.402
0.987 0.389 0.302
0.513 0.198 0.111
0.587 0.698 0.685
0.987 0.598 0.185
0.315 0.802 0.413
0.098 0.913 0.111
0.598 0.987 0.685
0.698 0.587 0.185
0.802 0.487 0.389
0.815 0.902 0.013
0.111 0.698 0.513
0.389 0.402 0.087
0.087 0.902 0.389
0.413 0.111 0.598
0.087 0.185 0.198
0.487 0.685 0.098
0.815 0.913 0.302
0.111 0.413 0.098
0.389 0.987 0.802
0.598 0.611 0.413
0.902 0.815 0.513
0.802 0.315 0.913
0.402 0.389 0.587
0.098 0.185 0.487
0.198 0.685 0.087
0.185 0.087 0.698
0.611 0.013 0.198
0.889 0.587 0.902
0.513 0.315 0.902
0.587 0.889 0.402
0.913 0.815 0.802
0.913 0.098 0.611
0.889 0.302 0.487
0.185 0.098 0.987
0.611 0.598 0.913
0.402 0.013 0.315
0.302 0.413 0.815
0.198 0.513 0.611
0.902 0.087 0.889
0.685 0.198 0.587
0.487 0.802 0.889
0.013 0.402 0.815
0.413 0.302 0.315
0.013 0.611 0.698
0.685 0.487 0.598
0.302 0.889 0.987

Al5Os3, optimized geometry, DFT GGA-PBE; relative energy among the computed polymorphs = 0 meV per atom; N(E_F) = 0.32 states/eV per atom; DFT formation energy = -0.385 eV/atom
1.0
3.586 -3.825 0.000
3.586 3.825 0.000
0.000 0.000 4.122
Al Os
5 3
Direct
0.000 0.000 0.000
0.000 0.500 0.000
0.500 0.000 0.000
0.291 0.291 0.500
0.709 0.709 0.500
0.500 0.500 0.000
0.795 0.205 0.500
0.205 0.795 0.500

Pr6Sm2Ho3Tm, optimized geometry, DFT GGA-PBE; N(E_F) = 1.13 states/eV per atom; DFT formation energy = 0.013 eV/atom
1.0
-4.210 -4.704 -0.192
4.751 0.158 -4.158
6.477 -4.745 8.815
Pr Sm Ho Tm
6 2 3 1
Direct
0.916 0.584 0.748
0.751 0.751 0.252
0.084 0.416 0.252
0.584 0.916 0.748
0.249 0.249 0.748
0.416 0.084 0.252
0.333 0.667 0.000
0.667 0.333 0.000
0.167 0.833 0.500
0.833 0.167 0.500
0.500 0.500 0.500
0.000 0.000 0.000

KSr2PuBr8, optimized geometry, DFT GGA-PBE; N(E_F) = 0.79 states/eV per atom; formation energy from raw total energies = -1.8367 eV/atom
1.0
7.178 -0.024 -0.004
0.018 7.019 -0.008
0.006 0.011 9.411
K Sr Pu Br
1 2 1 8
Direct
0.000 0.000 0.500
0.500 0.500 0.747
0.500 0.500 0.253
0.000 0.000 0.000
0.157 0.763 0.218
0.673 0.742 0.000
0.843 0.237 0.218
0.843 0.237 0.782
0.327 0.258 0.000
0.157 0.763 0.782
0.640 0.731 0.500
0.360 0.269 0.500

no.,V (Å³/cell),size of the total moment (Bohr magnetons per cell)
1,165.87,0.00
2,75.84,0.00
3,61.99,1.09
4,91.88,4.74
5,91.58,3.06
6,296.88,0.00
7,84.93,0.00
8,317.45,0.01
9,321.80,0.75
10,183.38,0.63
11,322.02,0.20
12,106.34,8.76
13,265.35,0.56
14,1898.61,0.00
15,113.11,0.00
16,405.41,0.00
17,474.15,5.00